## Tl3CoPd12 (PBE-GGA)

Data for crystalline Tl3CoPd12 at its relaxed geometry.

a = 4.0296 Å, b = 4.0296 Å, c = 16.1250 Å
α = 90.00°, β = 90.00°, γ = 90.00°
Fractional positions:
Pd 0.5000 0.5000 0.5000
Pd 0.0000 0.5000 0.1122
Pd 0.5000 0.5000 0.2406
Pd 0.5000 0.0000 0.3706
Pd 0.0000 0.5000 0.6294
Pd 0.5000 0.0000 0.8878
Pd 0.0000 0.5000 0.3706
Pd 0.5000 0.5000 0.7594
Pd 0.5000 0.0000 0.1122
Pd 0.0000 0.5000 0.8878
Pd 0.5000 0.5000 0.0000
Pd 0.5000 0.0000 0.6294
Tl 0.0000 0.0000 0.2433
Tl 0.0000 0.0000 0.5000
Tl 0.0000 0.0000 0.7567
Co 0.0000 0.0000 0.0000

Summary:
- space-group type = P4/mmm (123)
- uncorrected energy (eV per cell) = -78.44
- ΔH_f (0 K) (eV per atom) = -0.120

=====

## Tl2CoPd (PBE-GGA)

Data for crystalline Tl2CoPd at its relaxed geometry.

a = 4.7039 Å, b = 4.7039 Å, c = 4.7039 Å
α = 60.00°, β = 60.00°, γ = 60.00°
Fractional positions:
Pd 0.5000 0.5000 0.5000
Tl 0.2500 0.2500 0.2500
Tl 0.7500 0.7500 0.7500
Co 0.0000 0.0000 0.0000

Summary:
- space-group type = Fm-3m (225)
- uncorrected energy (eV per cell) = -15.86
- ΔH_f (0 K) (eV per atom) = 0.292

=====

## TlCoPd2 (PBE-GGA)

Data for crystalline TlCoPd2 at its relaxed geometry.

a = 4.5143 Å, b = 4.5143 Å, c = 4.5143 Å
α = 60.00°, β = 60.00°, γ = 60.00°
Fractional positions:
Pd 0.7500 0.7500 0.7500
Pd 0.2500 0.2500 0.2500
Co 0.0000 0.0000 0.0000
Tl 0.5000 0.5000 0.5000

Summary:
- space-group type = Fm-3m (225)
- uncorrected energy (eV per cell) = -19.37
- ΔH_f (0 K) (eV per atom) = 0.123

=====

## TlCo2Pd2 (PBE-GGA)

Data for crystalline TlCo2Pd2 at its relaxed geometry.

a = 7.4424 Å, b = 7.4424 Å, c = 2.8668 Å
α = 90.00°, β = 90.00°, γ = 90.00°
Fractional positions:
Tl 0.5000 0.5000 0.0000
Tl 0.0000 0.0000 0.0000
Co 0.6632 0.8368 0.5000
Co 0.1632 0.6632 0.5000
Co 0.8368 0.3368 0.5000
Co 0.3368 0.1632 0.5000
Pd 0.3694 0.8694 0.0000
Pd 0.6306 0.1306 0.0000
Pd 0.1306 0.3694 0.0000
Pd 0.8694 0.6306 0.0000

Summary:
- space-group type = P4/mbm (127)
- uncorrected energy (eV per cell) = -50.91
- ΔH_f (0 K) (eV per atom) = 0.302